Record 1
BiSbPbI2 at its PBEsol-relaxed geometry, computed with SCAN.

Results
total energy: -1.9340 Ha/atom
SG: P4/mmm
calculated volume: 207.76 Å³/cell

Cell: 5.8804 5.8804 6.0082 Å, 90.00 90.00 90.00°
With the nearest neighbours (Å) after each atom.
Fractional positions:
Pb  0.5000  0.5000  0.5000  4 Sb 4.16, 8 I 4.20
Bi  0.0000  0.0000  0.0000  4 I 2.94, 2 Sb 3.00
I  0.0000  0.5000  0.0000  2 Bi 2.94
I  0.5000  0.0000  0.0000  2 Bi 2.94
Sb  0.0000  0.0000  0.5000  2 Bi 3.00



Record 2
YBiPb2I at its PBEsol-relaxed geometry, computed with SCAN.

Results
total energy: -2.1580 Ha/atom
SG: P4/mmm
calculated volume: 196.77 Å³/cell

Cell: 5.5143 5.9735 5.9735 Å, 90.00 90.00 90.00°
With the nearest neighbours (Å) after each atom.
Fractional positions:
Pb  0.0000  0.5000  0.0000  2 Y 2.99
Pb  0.0000  0.0000  0.5000  2 Y 2.99
Y  0.0000  0.0000  0.0000  2 I 2.76, 4 Pb 2.99
Bi  0.5000  0.5000  0.5000  8 Pb 4.06, 4 I 4.22
I  0.5000  0.0000  0.0000  2 Y 2.76



Record 3
Bi3PdI at its PBEsol-relaxed geometry, computed with SCAN.

Results
total energy: -2.1889 Ha/atom
SG: Pm-3m
calculated volume: 193.49 Å³/cell

Cell: 5.7839 5.7839 5.7839 Å, 90.00 90.00 90.00°
With the nearest neighbours (Å) after each atom.
Fractional positions:
Pd  0.5000  0.5000  0.5000  12 Bi 4.09
Bi  0.0000  0.5000  0.0000  2 I 2.89
Bi  0.5000  0.0000  0.0000  2 I 2.89
Bi  0.0000  0.0000  0.5000  2 I 2.89
I  0.0000  0.0000  0.0000  6 Bi 2.89



Record 4
BiPdI3 at its PBEsol-relaxed geometry, computed with SCAN.

Results
total energy: -1.6235 Ha/atom
SG: Pm-3m
calculated volume: 152.39 Å³/cell

Cell: 5.3414 5.3414 5.3414 Å, 90.00 90.00 90.00°
With the nearest neighbours (Å) after each atom.
Fractional positions:
I  0.0000  0.0000  0.5000  2 Pd 2.67
I  0.5000  0.0000  0.0000  2 Pd 2.67
I  0.0000  0.5000  0.0000  2 Pd 2.67
Pd  0.0000  0.0000  0.0000  6 I 2.67
Bi  0.5000  0.5000  0.5000  12 I 3.78



Record 5
ScBiPt2I at its PBEsol-relaxed geometry, computed with SCAN.

Results
total energy: -1.9603 Ha/atom
SG: P4/mmm
calculated volume: 149.34 Å³/cell

Cell: 5.0222 5.0222 5.9209 Å, 90.00 90.00 90.00°
With the nearest neighbours (Å) after each atom.
Fractional positions:
Bi  0.0000  0.0000  0.0000  4 Pt 2.51
I  0.0000  0.0000  0.5000  2 Bi 2.96
Sc  0.5000  0.5000  0.5000  4 I 3.55, 8 Pt 3.88
Pt  0.5000  0.0000  0.0000  2 Bi 2.51
Pt  0.0000  0.5000  0.0000  2 Bi 2.51



Record 6
ZnBi2PtI at its PBEsol-relaxed geometry, computed with SCAN.

Results
total energy: -2.0368 Ha/atom
SG: P4/mmm
calculated volume: 142.21 Å³/cell

Cell: 4.8247 5.4291 5.4291 Å, 90.00 90.00 90.00°
With the nearest neighbours (Å) after each atom.
Fractional positions:
I  0.5000  0.5000  0.5000  8 Bi 3.63, 4 Zn 3.84
Zn  0.5000  0.0000  0.0000  2 Pt 2.41
Bi  0.0000  0.5000  0.0000  2 Pt 2.71
Bi  0.0000  0.0000  0.5000  2 Pt 2.71
Pt  0.0000  0.0000  0.0000  2 Zn 2.41



Record 7
RbBi3I at its PBEsol-relaxed geometry, computed with SCAN.

Results
total energy: -2.1331 Ha/atom
SG: Pm-3m
calculated volume: 220.57 Å³/cell

Cell: 6.0420 6.0420 6.0420 Å, 90.00 90.00 90.00°
With the nearest neighbours (Å) after each atom.
Fractional positions:
I  0.0000  0.0000  0.0000  6 Bi 3.02
Bi  0.0000  0.5000  0.0000  2 I 3.02
Bi  0.0000  0.0000  0.5000  2 I 3.02
Bi  0.5000  0.0000  0.0000  2 I 3.02
Rb  0.5000  0.5000  0.5000  12 Bi 4.27



Record 8
RbBi2I at its PBEsol-relaxed geometry, computed with SCAN.

Results
total energy: -1.9615 Ha/atom
SG: Fm-3m
calculated volume: 138.26 Å³/cell

Cell: 5.8042 5.8042 5.8042 Å, 60.00 60.00 60.00°
With the nearest neighbours (Å) after each atom.
Fractional positions:
Bi  0.7500  0.7500  0.7500  4 I 3.55, 4 Rb 3.55
Bi  0.2500  0.2500  0.2500  4 Rb 3.55, 4 I 3.55
I  0.5000  0.5000  0.5000  8 Bi 3.55
Rb  0.0000  0.0000  0.0000  8 Bi 3.55



Record 9
RbBiI3 at its PBEsol-relaxed geometry, computed with SCAN.

Results
total energy: -1.5682 Ha/atom
SG: Pm-3m
calculated volume: 239.78 Å³/cell

Cell: 6.2125 6.2125 6.2125 Å, 90.00 90.00 90.00°
With the nearest neighbours (Å) after each atom.
Fractional positions:
I  0.5000  0.0000  0.0000  2 Bi 3.11
I  0.0000  0.0000  0.5000  2 Bi 3.11
I  0.0000  0.5000  0.0000  2 Bi 3.11
Rb  0.5000  0.5000  0.5000  12 I 4.39
Bi  0.0000  0.0000  0.0000  6 I 3.11



Record 10
BiRhI3 at its PBEsol-relaxed geometry, computed with SCAN.

Results
total energy: -1.6055 Ha/atom
SG: Pm-3m
calculated volume: 219.45 Å³/cell

Cell: 6.0317 6.0317 6.0317 Å, 90.00 90.00 90.00°
With the nearest neighbours (Å) after each atom.
Fractional positions:
I  0.5000  0.0000  0.0000  2 Bi 3.02
I  0.0000  0.0000  0.5000  2 Bi 3.02
I  0.0000  0.5000  0.0000  2 Bi 3.02
Bi  0.0000  0.0000  0.0000  6 I 3.02
Rh  0.5000  0.5000  0.5000  12 I 4.27



Record 11
BiRhI2 at its PBEsol-relaxed geometry, computed with SCAN.

Results
total energy: -1.6803 Ha/atom
SG: Fm-3m
calculated volume: 99.34 Å³/cell

Cell: 5.1986 5.1986 5.1986 Å, 60.00 60.00 60.00°
With the nearest neighbours (Å) after each atom.
Fractional positions:
I  0.2500  0.2500  0.2500  4 Bi 3.18, 4 Rh 3.18
I  0.7500  0.7500  0.7500  4 Bi 3.18, 4 Rh 3.18
Rh  0.0000  0.0000  0.0000  8 I 3.18
Bi  0.5000  0.5000  0.5000  8 I 3.18



Record 12
BiRu2RhI at its PBEsol-relaxed geometry, computed with SCAN.

Results
total energy: -1.5299 Ha/atom
SG: P4/mmm
calculated volume: 143.76 Å³/cell

Cell: 4.9228 4.9228 5.9321 Å, 90.00 90.00 90.00°
With the nearest neighbours (Å) after each atom.
Fractional positions:
I  0.0000  0.0000  0.5000  2 Bi 2.97
Bi  0.0000  0.0000  0.0000  4 Ru 2.46
Rh  0.5000  0.5000  0.5000  4 I 3.48, 8 Ru 3.85
Ru  0.0000  0.5000  0.0000  2 Bi 2.46
Ru  0.5000  0.0000  0.0000  2 Bi 2.46



Record 13
BiSb2RhI at its PBEsol-relaxed geometry, computed with SCAN.

Results
total energy: -1.6320 Ha/atom
SG: P4/mmm
calculated volume: 139.06 Å³/cell

Cell: 5.0746 5.0746 5.4000 Å, 90.00 90.00 90.00°
With the nearest neighbours (Å) after each atom.
Fractional positions:
Sb  0.5000  0.0000  0.0000  2 Rh 2.54
Sb  0.0000  0.5000  0.0000  2 Rh 2.54
Rh  0.0000  0.0000  0.0000  4 Sb 2.54, 2 I 2.70
Bi  0.5000  0.5000  0.5000  4 I 3.59, 8 Sb 3.71
I  0.0000  0.0000  0.5000  2 Rh 2.70



Record 14
BiTeRuI2 at its PBEsol-relaxed geometry, computed with SCAN.

Results
total energy: -1.6073 Ha/atom
SG: P4/mmm
calculated volume: 207.34 Å³/cell

Cell: 5.9052 5.9052 5.9458 Å, 90.00 90.00 90.00°
With the nearest neighbours (Å) after each atom.
Fractional positions:
I  0.5000  0.0000  0.0000  2 Bi 2.95
I  0.0000  0.5000  0.0000  2 Bi 2.95
Bi  0.0000  0.0000  0.0000  4 I 2.95, 2 Te 2.97
Ru  0.5000  0.5000  0.5000  4 Te 4.18, 8 I 4.19
Te  0.0000  0.0000  0.5000  2 Bi 2.97



Record 15
Bi2SI2 at its PBEsol-relaxed geometry, computed with SCAN.

Results
total energy: -1.7465 Ha/atom
SG: I4/mmm
calculated volume: 173.80 Å³/cell

Cell: 4.2891 4.2891 9.9225 Å, 102.48 102.48 90.00°
With the nearest neighbours (Å) after each atom.
Fractional positions:
Bi  0.4260  0.4260  0.8519  1 Bi 2.80
Bi  0.5740  0.5740  0.1481  1 Bi 2.80
I  0.7500  0.2500  0.5000  4 I 3.03
I  0.2500  0.7500  0.5000  4 I 3.03
S  0.0000  0.0000  0.0000  8 Bi 3.34



Record 16
BiS2I at its PBEsol-relaxed geometry, computed with SCAN.

Results
total energy: -1.2401 Ha/atom
SG: R-3m
calculated volume: 123.99 Å³/cell

Cell: 4.2112 4.2112 8.4315 Å, 75.54 75.54 60.00°
With the nearest neighbours (Å) after each atom.
Fractional positions:
Bi  0.5000  0.5000  0.5000  6 S 2.83
S  0.1072  0.1072  0.6785  1 I 2.60, 3 Bi 2.83
S  0.8928  0.8928  0.3215  1 I 2.60, 3 Bi 2.83
I  0.0000  0.0000  0.0000  2 S 2.60



Record 17
BiSbSI2 at its PBEsol-relaxed geometry, computed with SCAN.

Results
total energy: -1.4345 Ha/atom
SG: P4/mmm
calculated volume: 211.40 Å³/cell

Cell: 5.8668 5.8668 6.1417 Å, 90.00 90.00 90.00°
With the nearest neighbours (Å) after each atom.
Fractional positions:
S  0.5000  0.5000  0.5000  4 Sb 4.15, 8 I 4.25
I  0.5000  0.0000  0.0000  2 Bi 2.93
I  0.0000  0.5000  0.0000  2 Bi 2.93
Sb  0.0000  0.0000  0.5000  2 Bi 3.07
Bi  0.0000  0.0000  0.0000  4 I 2.93, 2 Sb 3.07



Record 18
Bi2Sb2I at its PBEsol-relaxed geometry, computed with SCAN.

Results
total energy: -1.9714 Ha/atom
E above lowest polymorph: 0 meV/atom
SG: I4/mmm
calculated volume: 175.17 Å³/cell

Cell: 5.0372 5.0372 7.7682 Å, 108.92 108.92 90.00°
With the nearest neighbours (Å) after each atom.
Fractional positions:
Bi  0.6263  0.6263  0.2525  4 Sb 3.04
Bi  0.3737  0.3737  0.7475  4 Sb 3.04
I  0.0000  0.0000  0.0000  8 Bi 3.97, 8 Sb 4.27
Sb  0.2500  0.7500  0.5000  4 Bi 3.04
Sb  0.7500  0.2500  0.5000  4 Bi 3.04



Record 19
Bi2Sb2I at its PBEsol-relaxed geometry, computed with SCAN.

Results
total energy: -1.9710 Ha/atom
E above lowest polymorph: 11 meV/atom
SG: I4/mmm
calculated volume: 173.00 Å³/cell

Cell: 5.2698 5.2698 7.2591 Å, 111.28 111.28 90.00°
With the nearest neighbours (Å) after each atom.
Fractional positions:
Sb  0.6246  0.6246  0.2491  4 Bi 3.06, 1 Sb 3.10
Sb  0.3754  0.3754  0.7509  4 Bi 3.06, 1 Sb 3.10
Bi  0.2500  0.7500  0.5000  4 Sb 3.06
Bi  0.7500  0.2500  0.5000  4 Sb 3.06
I  0.0000  0.0000  0.0000  8 Sb 4.04, 8 Bi 4.08



Record 20
Bi3SbI at its PBEsol-relaxed geometry, computed with SCAN.

Results
total energy: -2.2320 Ha/atom
SG: Pm-3m
calculated volume: 196.16 Å³/cell

Cell: 5.8104 5.8104 5.8104 Å, 90.00 90.00 90.00°
With the nearest neighbours (Å) after each atom.
Fractional positions:
Sb  0.5000  0.5000  0.5000  12 Bi 4.11
Bi  0.0000  0.0000  0.5000  2 I 2.91
Bi  0.0000  0.5000  0.0000  2 I 2.91
Bi  0.5000  0.0000  0.0000  2 I 2.91
I  0.0000  0.0000  0.0000  6 Bi 2.91